No. 1
Ni2IrW | PBEsol | relaxed

Cell: 4.5475 4.5475 4.5475 Å, 132.39 132.39 69.61°
Closest atoms and distances in Å follow each position.
Atoms (fractional coordinates):
Ni (0.0000, 0.0000, 0.0000)  4 W 2.60, 4 Ni 2.62, 4 Ir 2.62
Ni (0.7500, 0.2500, 0.5000)  4 Ir 2.60, 4 W 2.62, 4 Ni 2.62
Ir (0.2500, 0.7500, 0.5000)  8 Ni 2.60-2.62, 4 W 2.62
W (0.5000, 0.5000, 0.0000)  8 Ni 2.60-2.62, 4 Ir 2.62

Results
Magnetic moment: 0.000 μB per atom
Energy: -9.200 eV per atom
Theoretical density: 16286 kg/m3
Formation energy: -0.21 eV per atom



No. 2
Ni2IrW | PBEsol | relaxed

Cell: 4.5375 4.5375 4.5375 Å, 132.14 132.14 70.00°
Closest atoms and distances in Å follow each position.
Atoms (fractional coordinates):
Ni (0.2500, 0.7500, 0.5000)  4 Ni 2.60, 4 W 2.62, 4 Ir 2.62
Ni (0.7500, 0.2500, 0.5000)  4 Ni 2.60, 4 W 2.62, 4 Ir 2.62
Ir (0.0000, 0.0000, 0.0000)  4 W 2.60, 8 Ni 2.62
W (0.5000, 0.5000, 0.0000)  4 Ir 2.60, 8 Ni 2.62

Results
Magnetic moment: 0.000 μB per atom
Energy: -9.111 eV per atom
Theoretical density: 16272 kg/m3
Formation energy: -0.12 eV per atom



Question: energy of number 1 (Ni2IrW)?
Answer: -9.200 eV per atom